1.
Here is a geometry-optimized SrCaAlIr structure from the Alexandria database. Energies are from GGA-PBE.

## Properties
Its total magnetization is 0.00 μB per cell. The uncorrected energy comes out at -4.538 eV per atom. The formation energy is -466 meV per atom.

Cell: 8.1946 8.1946 8.1946 Å, 30.22 30.22 30.22°
Closest atoms and distances in Å follow each position.
Element x y z (fractional)
Sr1 0.0000 0.0000 0.0000  3 Ir 3.29, 3 Al 3.30
Ca1 0.1760 0.1760 0.1760  3 Al 3.13, 3 Ir 3.14
Al1 0.7604 0.7604 0.7604  3 Ir 2.47
Ir1 0.4265 0.4265 0.4265  3 Al 2.47

2.
Here is a geometry-optimized PrYH4 structure from the Alexandria database. Energies are from GGA-PBE.

## Properties
Its total magnetization is 0.00 μB per cell. The uncorrected energy comes out at -4.782 eV per atom.

Cell: 3.7790 3.7790 5.4022 Å, 90.00 90.00 90.00°
Closest atoms and distances in Å follow each position.
Element x y z (fractional)
Pr1 0.0000 0.0000 0.0000  8 H 2.38
Y1 0.5000 0.5000 0.5000  8 H 2.27
H1 0.0000 0.5000 0.2678  2 Y 2.27, 2 Pr 2.38, 1 H 2.51
H2 0.0000 0.5000 0.7322  2 Y 2.27, 2 Pr 2.38, 1 H 2.51
H3 0.5000 0.0000 0.2678  2 Y 2.27, 2 Pr 2.38, 1 H 2.51
H4 0.5000 0.0000 0.7322  2 Y 2.27, 2 Pr 2.38, 1 H 2.51

Repeat the second record exactly.
Here is a geometry-optimized PrYH4 structure from the Alexandria database. Energies are from GGA-PBE.

## Properties
Its total magnetization is 0.00 μB per cell. The uncorrected energy comes out at -4.782 eV per atom.

Cell: 3.7790 3.7790 5.4022 Å, 90.00 90.00 90.00°
Closest atoms and distances in Å follow each position.
Element x y z (fractional)
Pr1 0.0000 0.0000 0.0000  8 H 2.38
Y1 0.5000 0.5000 0.5000  8 H 2.27
H1 0.0000 0.5000 0.2678  2 Y 2.27, 2 Pr 2.38, 1 H 2.51
H2 0.0000 0.5000 0.7322  2 Y 2.27, 2 Pr 2.38, 1 H 2.51
H3 0.5000 0.0000 0.2678  2 Y 2.27, 2 Pr 2.38, 1 H 2.51
H4 0.5000 0.0000 0.7322  2 Y 2.27, 2 Pr 2.38, 1 H 2.51

Question: The lowest uncorrected energy belongs to which entry?
Answer: PrYH4

Question: Look up the uncorrected energy of the first one.
Answer: -4.538 eV per atom

Question: Which value of uncorrected energy does entry 2 give?
Answer: -4.782 eV per atom